# Er2SbBr2, optimized geometry, DFT PBE
data_Er2SbBr2
_space_group_name_H-M_alt 'R -3 m'
_space_group_IT_number 166
_space_group_name_Hall '-R 3 2"'
_cell_length_a 4.1974
_cell_length_b 4.1974
_cell_length_c 32.1063
_cell_angle_alpha 90.00
_cell_angle_beta 90.00
_cell_angle_gamma 120.00
loop_
_atom_site_label
_atom_site_fract_x
_atom_site_fract_y
_atom_site_fract_z
Er1 0.0000 0.0000 0.1130
Sb1 0.0000 0.0000 0.5000
Br1 0.0000 0.0000 0.2734
# - Uncorrected energy: -71.08 eV per cell
# - Energy relative to the elements, uncorrected: -1420 meV/atom